Computed, not measured: an optimized crystal structure of Ag3BrCl3 at the PBE level of DFT.

The calculation puts the energy relative to the lowest polymorph listed for this composition at 0.0 meV per atom. The total energy comes out at -2.6311 eV per atom.

Cell: 8.5430 5.1215 8.6815 Å, 90.00 105.96 90.00°
Space group P2_1/m (No. 11)
Asymmetric unit:
Ag 0.1298 0.2500 0.4371 (multiplicity 2)
Ag 0.1747 0.2500 0.0091 (multiplicity 2)
Ag 0.3585 0.7500 0.7910 (multiplicity 2)
Br 0.3771 0.2500 0.3094 (multiplicity 2)
Cl 0.1058 0.7500 0.9000 (multiplicity 2)
Cl 0.1253 0.7500 0.4534 (multiplicity 2)
Cl 0.3668 0.2500 0.8107 (multiplicity 2)